A relaxed structure of KTi5Se8, computed with GGA-PBE.

Formation energy from raw total energies ... -1.21 eV per atom
Energy ... -6.10 eV per atom
Space group ... C2/m, No. 12

abc: 9.6277 9.6277 9.2074
angles: 75.57 75.57 21.54
Last column: nearest neighbours and their distance in Å.
Sites, in units of the cell vectors:
1 Se 0.9135 0.9135 0.8198  3 Ti 2.56-2.61
2 Se 0.7572 0.7572 0.1634  5 Ti 2.66-2.75
3 Se 0.0865 0.0865 0.1802  3 Ti 2.56-2.61
4 Ti 0.2914 0.2914 0.3478  6 Se 2.51-2.66
5 Ti 0.0000 0.0000 0.0000  6 Se 2.58-2.61
6 Se 0.8390 0.8390 0.4984  3 Ti 2.51-2.57
7 Se 0.1610 0.1610 0.5016  3 Ti 2.51-2.57
8 Se 0.4265 0.4265 0.1767  4 Ti 2.50-2.64
9 K 0.5000 0.5000 0.5000  10 Se 3.48-3.59, 2 K 3.60
10 Ti 0.3460 0.3460 0.9993  6 Se 2.50-2.75
11 Se 0.5735 0.5735 0.8233  4 Ti 2.50-2.64
12 Ti 0.7086 0.7086 0.6522  6 Se 2.51-2.66
13 Se 0.2428 0.2428 0.8366  5 Ti 2.66-2.75
14 Ti 0.6540 0.6540 0.0007  6 Se 2.50-2.75